Below is a relaxed structure of Rb2TaBeSe5, with properties calculated at the PBE level.

Formation energy without anion corrections ... -7.31 eV/f.u.
Mass density ... 4.56 g cm⁻³

Geometry as POSCAR:
```
Rb2TaBeSe5
1.0
-0.142 -0.484 3.663
-2.051 -10.127 -3.283
13.647 -2.815 0.156
Rb Ta Se Be
4 2 10 2
direct
0.121 0.242 0.689 Rb
0.111 0.222 0.293 Rb
0.879 0.758 0.189 Rb
0.889 0.778 0.793 Rb
0.224 0.448 0.011 Ta
0.776 0.552 0.511 Ta
0.524 0.047 0.835 Se
0.335 0.670 0.990 Se
0.908 0.816 0.536 Se
0.698 0.395 0.883 Se
0.715 0.431 0.141 Se
0.285 0.569 0.641 Se
0.302 0.605 0.383 Se
0.476 0.953 0.335 Se
0.665 0.330 0.490 Se
0.092 0.184 0.036 Se
0.405 0.810 0.446 Be
0.595 0.190 0.946 Be
```